Entry 1:
First-principles (PBE with a Hubbard U) data for a relaxed structure of KAl2VF8, as listed in Alexandria via LeMat-Bulk.

Properties
- space-group type = R-3 (148)
- magnetization (μB per formula unit) = 3.19
- electronic total energy (eV for the cell shown) = -66.06

a b c (Å): 8.463 8.463 8.463
angles (deg): 37.86 37.86 37.86
Atoms (fractional coordinates):
K: 0.000 0.000 0.000
Al: 0.242 0.242 0.242
Al: 0.758 0.758 0.758
V: 0.500 0.500 0.500
F: 0.100 0.738 0.504
F: 0.262 0.496 0.900
F: 0.315 0.315 0.315
F: 0.496 0.900 0.262
F: 0.504 0.100 0.738
F: 0.685 0.685 0.685
F: 0.738 0.504 0.100
F: 0.900 0.262 0.496

---

Entry 2:
First-principles (PBE with a Hubbard U) data for a relaxed structure of KAlVF6, as listed in Alexandria via LeMat-Bulk.

Properties
- space-group type = Imma (74)
- magnetization (μB per formula unit) = 3.00
- electronic total energy (eV for the cell shown) = -103.53

a b c (Å): 7.198 7.198 7.198
angles (deg): 120.03 119.23 90.64
Atoms (fractional coordinates):
K: 0.375 0.125 0.250
K: 0.625 0.875 0.750
Al: 0.000 0.000 0.500
Al: 0.000 0.500 0.000
V: 0.000 0.500 0.500
V: 0.500 0.500 0.000
F: 0.029 0.779 0.250
F: 0.052 0.397 0.200
F: 0.052 0.852 0.654
F: 0.302 0.148 0.700
F: 0.302 0.603 0.154
F: 0.353 0.603 0.750
F: 0.647 0.397 0.250
F: 0.698 0.397 0.846
F: 0.698 0.852 0.300
F: 0.948 0.148 0.346
F: 0.948 0.603 0.800
F: 0.971 0.221 0.750

---

Entry 3:
First-principles (PBE with a Hubbard U) data for a relaxed structure of K2AlVF6, as listed in Alexandria via LeMat-Bulk.

Properties
- space-group type = I4/mmm (139)
- magnetization (μB per formula unit) = 4.00
- electronic total energy (eV for the cell shown) = -52.59

a b c (Å): 6.303 6.303 6.303
angles (deg): 126.92 126.92 78.39
Atoms (fractional coordinates):
K: 0.250 0.750 0.500
K: 0.750 0.250 0.500
Al: 0.000 0.000 0.000
V: 0.500 0.500 0.000
F: 0.186 0.186 0.000
F: 0.231 0.231 0.462
F: 0.231 0.769 0.000
F: 0.769 0.231 0.000
F: 0.769 0.769 0.538
F: 0.814 0.814 0.000